DFT (PBE) results for an optimized crystal structure of AlAgO3.

CIF file:
```
data_AlAgO3
_cell_length_a 3.407
_cell_length_b 3.407
_cell_length_c 11.656
_cell_angle_alpha 90.00
_cell_angle_beta 90.00
_cell_angle_gamma 120.00
_symmetry_space_group_name_H-M 'P 1'
_symmetry_Int_Tables_number 1
_symmetry_space_group_name_Hall 'P 1'
loop_
_atom_site_label
_atom_site_type_symbol
_atom_site_fract_x
_atom_site_fract_y
_atom_site_fract_z
Al1 Al 0.000 0.000 0.500
Al2 Al 0.000 0.000 0.000
Ag1 Ag 0.667 0.333 0.750
Ag2 Ag 0.333 0.667 0.250
O1 O 0.333 0.667 0.432
O2 O 0.667 0.333 0.932
O3 O 0.667 0.333 0.568
O4 O 0.333 0.667 0.068
O5 O 0.000 0.000 0.250
O6 O 0.000 0.000 0.750
```

Summary:
Total moment, μB/cell: 0.0
Uncorrected formation energy, kJ per mole of atoms: -92.9
Final energy, eV/atom: -5.257